TlNiH | Alexandria | PBE | relaxed; SG = P-6m2 (187); raw total energy = -10.71 eV per cell; N(E_F) = 1.7 states/eV/cell; energy relative to the lowest polymorph listed for this composition = 126.7 meV/atom
1.0
3.112 0.000 0.000
-1.556 2.695 0.000
0.000 0.000 4.686
Tl Ni H
1 1 1
Direct
0.000 0.000 0.000
0.333 0.667 0.500
0.667 0.333 0.500